Nd3Tm2ScS6 after structural relaxation, computed with PBE.

Cell lengths 6.7348, 6.7348, 6.9611 Å; angles 99.29, 99.29, 120.16 degrees
Fractional positions:
Nd 0.0000 0.0000 0.0000
Nd 0.3316 0.6684 0.0000
Nd 0.6684 0.3316 0.0000
Tm 0.1663 0.8337 0.5000
Tm 0.8337 0.1663 0.5000
Sc 0.5000 0.5000 0.5000
S 0.0979 0.4257 0.2758
S 0.2479 0.2479 0.7263
S 0.4257 0.0979 0.2758
S 0.5743 0.9021 0.7242
S 0.7521 0.7521 0.2737
S 0.9021 0.5743 0.7242

Properties
Space-group type: C2/m, No. 12
E_form (uncorrected), eV per formula unit: -23.6
Final energy, eV per atom: -6.50

=====

CsTl2ZnCl5 after structural relaxation, computed with PBE.

Cell lengths 9.6301, 9.6301, 9.6301 Å; angles 125.46, 125.46, 80.79 degrees
Fractional positions:
Cs 0.2500 0.2500 0.0000
Cs 0.7500 0.7500 0.0000
Tl 0.1692 0.6692 0.8385
Tl 0.3308 0.1692 0.5000
Tl 0.6692 0.8308 0.5000
Tl 0.8308 0.3308 0.1615
Zn 0.2500 0.7500 0.5000
Zn 0.7500 0.2500 0.5000
Cl 0.0000 0.0000 0.0000
Cl 0.0092 0.7951 0.5000
Cl 0.2049 0.7049 0.2141
Cl 0.2951 0.5092 0.5000
Cl 0.4908 0.9908 0.7859
Cl 0.5000 0.5000 0.0000
Cl 0.5092 0.0092 0.2141
Cl 0.7049 0.4908 0.5000
Cl 0.7951 0.2951 0.7859
Cl 0.9908 0.2049 0.5000

Properties
Space-group type: I4/mcm, No. 140
E_form (uncorrected), eV per formula unit: -11.8
Final energy, eV per atom: -3.10

=====

Ca2Al3Si3O13 after structural relaxation, computed with PBE.

Cell lengths 8.8581, 5.6760, 10.1388 Å; angles 90.00, 113.69, 90.00 degrees
Fractional positions:
Ca 0.1132 0.2500 0.3632
Ca 0.3369 0.7500 0.9272
Ca 0.6631 0.2500 0.0728
Ca 0.8868 0.7500 0.6368
Al 0.0000 0.0000 0.0000
Al 0.0000 0.5000 0.0000
Al 0.4382 0.2500 0.7317
Al 0.5000 0.0000 0.5000
Al 0.5000 0.5000 0.5000
Al 0.5618 0.7500 0.2683
Si 0.0798 0.2500 0.7597
Si 0.2088 0.7500 0.5549
Si 0.3688 0.2500 0.1799
Si 0.6312 0.7500 0.8201
Si 0.7912 0.2500 0.4451
Si 0.9202 0.7500 0.2403
O 0.0117 0.0235 0.8208
O 0.0117 0.4765 0.8208
O 0.0224 0.7500 0.4182
O 0.1446 0.7500 0.0336
O 0.1676 0.7500 0.6941
O 0.1700 0.2500 0.0777
O 0.2748 0.2500 0.7977
O 0.3061 0.5077 0.5440
O 0.3061 0.9923 0.5440
O 0.3925 0.2500 0.3519
O 0.4371 0.7500 0.3738
O 0.4607 0.0149 0.1474
O 0.4607 0.4851 0.1474
O 0.5393 0.5149 0.8526
O 0.5393 0.9851 0.8526
O 0.5629 0.2500 0.6262
O 0.6075 0.7500 0.6481
O 0.6939 0.0077 0.4560
O 0.6939 0.4923 0.4560
O 0.7252 0.7500 0.2023
O 0.8300 0.7500 0.9223
O 0.8324 0.2500 0.3059
O 0.8554 0.2500 0.9664
O 0.9776 0.2500 0.5818
O 0.9883 0.5235 0.1792
O 0.9883 0.9765 0.1792

Properties
Relative energy among the computed polymorphs, meV/atom: 7
Space-group type: P2_1/m, No. 11
E_form (uncorrected), eV per formula unit: -60.0
Final energy, eV per atom: -7.43

=====

Hf12ZnFe6 after structural relaxation, computed with PBE.

Cell lengths 7.6832, 7.6832, 7.6832 Å; angles 109.47, 109.47, 109.47 degrees
Fractional positions:
Hf 0.1001 0.2921 0.8079
Hf 0.1921 0.4842 0.2921
Hf 0.1921 0.8999 0.7079
Hf 0.2921 0.1921 0.4842
Hf 0.2921 0.8079 0.1001
Hf 0.4842 0.2921 0.1921
Hf 0.5158 0.7079 0.8079
Hf 0.7079 0.1921 0.8999
Hf 0.7079 0.8079 0.5158
Hf 0.8079 0.1001 0.2921
Hf 0.8079 0.5158 0.7079
Hf 0.8999 0.7079 0.1921
Zn 0.0000 0.0000 0.0000
Fe 0.1246 0.5000 0.6246
Fe 0.3754 0.8754 0.5000
Fe 0.5000 0.3754 0.8754
Fe 0.5000 0.6246 0.1246
Fe 0.6246 0.1246 0.5000
Fe 0.8754 0.5000 0.3754

Properties
Space-group type: Im-3, No. 204
Energy of formation from the pure elements, eV per atom: -0.116
Final energy, eV per atom: -9.14

=====

PtRh5S8 after structural relaxation, computed with PBE.

Cell lengths 7.0022, 7.0022, 7.0022 Å; angles 60.00, 60.00, 60.00 degrees
Fractional positions:
Pt 0.0000 0.0000 0.0000
Rh 0.1258 0.6247 0.6247
Rh 0.2500 0.2500 0.2500
Rh 0.6247 0.1258 0.6247
Rh 0.6247 0.6247 0.1258
Rh 0.6247 0.6247 0.6247
S 0.3834 0.3834 0.3834
S 0.3834 0.3834 0.8498
S 0.3834 0.8498 0.3834
S 0.4065 0.8645 0.8645
S 0.8498 0.3834 0.3834
S 0.8645 0.4065 0.8645
S 0.8645 0.8645 0.4065
S 0.8645 0.8645 0.8645

Properties
Space-group type: F-43m, No. 216
E_form (uncorrected), eV per formula unit: -5.7
Final energy, eV per atom: -5.82

=====

K2PuBr3Cl3 after structural relaxation, computed with PBE.

Cell lengths 8.3250, 8.3250, 4.2877 Å; angles 90.00, 90.00, 120.00 degrees
Fractional positions:
K 0.3333 0.6667 0.0000
K 0.6667 0.3333 0.0000
Pu 0.0000 0.0000 0.5000
Br 0.0000 0.6343 0.5000
Br 0.3657 0.3657 0.5000
Br 0.6343 0.0000 0.5000
Cl 0.0000 0.2261 0.0000
Cl 0.2261 0.0000 0.0000
Cl 0.7739 0.7739 0.0000

Properties
Space-group type: P-62m, No. 189
E_form (uncorrected), eV per formula unit: -14.3
Final energy, eV per atom: -4.60